[1]
# PBE TmBeSi2Ni4, optimized geometry
# total DFT energy (no corrections)	-5.896	eV/atom
# formation energy from raw total energies	-0.625	eV per atom
# size of the total moment	0.00	μB per formula unit
data_TmBeSi2Ni4
_chemical_formula_sum 'Tm3 Be3 Si6 Ni12'
_space_group_name_H-M_alt 'R -3 m'
_space_group_IT_number 166
_space_group_name_Hall '-R 3 2"'
_cell_length_a 3.8688
_cell_length_b 3.8688
_cell_length_c 23.6401
_cell_angle_alpha 90.00
_cell_angle_beta 90.00
_cell_angle_gamma 120.00
loop_
_atom_site_label
_atom_site_type_symbol
_atom_site_fract_x
_atom_site_fract_y
_atom_site_fract_z
Tm1 Tm 0.0000 0.0000 0.0000
Be1 Be 0.0000 0.0000 0.5000
Si1 Si 0.0000 0.0000 0.2395
Ni1 Ni 0.0000 0.0000 0.1366
Ni2 Ni 0.0000 0.0000 0.4098

[2]
# PBE SrTeSe2, optimized geometry
# total DFT energy (no corrections)	-3.652	eV/atom
# formation energy from raw total energies	-0.704	eV per atom
# size of the total moment	0.00	μB per formula unit
data_SrTeSe2
_chemical_formula_sum 'Sr4 Te4 Se8'
_space_group_name_H-M_alt 'I -4 2 d'
_space_group_IT_number 122
_space_group_name_Hall 'I -4 2bw'
_cell_length_a 5.9122
_cell_length_b 5.9122
_cell_length_c 16.9219
_cell_angle_alpha 90.00
_cell_angle_beta 90.00
_cell_angle_gamma 90.00
loop_
_atom_site_label
_atom_site_type_symbol
_atom_site_fract_x
_atom_site_fract_y
_atom_site_fract_z
Sr1 Sr 0.0000 0.0000 0.0000
Te1 Te 0.0000 0.0000 0.5000
Se1 Se 0.2055 0.2500 0.6250

[3]
# PBE Na3Ta2NbN6, optimized geometry
# total DFT energy (no corrections)	-8.154	eV/atom
# formation energy from raw total energies	-0.847	eV per atom
# size of the total moment	0.00	μB per formula unit
data_Na3Ta2NbN6
_chemical_formula_sum 'Na6 Ta4 Nb2 N12'
_space_group_name_H-M_alt 'C 1 2/m 1'
_space_group_IT_number 12
_space_group_name_Hall '-C 2y'
_cell_length_a 5.4442
_cell_length_b 9.4296
_cell_length_c 5.9857
_cell_angle_alpha 90.00
_cell_angle_beta 107.65
_cell_angle_gamma 90.00
loop_
_atom_site_label
_atom_site_type_symbol
_atom_site_fract_x
_atom_site_fract_y
_atom_site_fract_z
Na1 Na 0.0000 0.0000 0.0000
Na2 Na 0.0000 0.3339 0.0000
Ta1 Ta 0.0000 0.1667 0.5000
Nb1 Nb 0.0000 0.5000 0.5000
N1 N 0.2288 0.0000 0.6936
N2 N 0.2324 0.3321 0.6935

[4]
# PBE La2Pr4NdDy2, optimized geometry
# ΔE_f	0.01	eV per atom
# total DFT energy (no corrections)	-4.765	eV/atom
# size of the total moment	0.00	μB per formula unit
data_La2Pr4NdDy2
_chemical_formula_sum 'La4 Pr8 Nd2 Dy4'
_space_group_name_H-M_alt 'C 1 2/m 1'
_space_group_IT_number 12
_space_group_name_Hall '-C 2y'
_cell_length_a 19.2701
_cell_length_b 3.7178
_cell_length_c 9.8616
_cell_angle_alpha 90.00
_cell_angle_beta 115.83
_cell_angle_gamma 90.00
loop_
_atom_site_label
_atom_site_type_symbol
_atom_site_fract_x
_atom_site_fract_y
_atom_site_fract_z
La1 La 0.1669 0.0000 0.4977
Pr1 Pr 0.0184 0.0000 0.8370
Pr2 Pr 0.1861 0.5000 0.8333
Nd1 Nd 0.0000 0.5000 0.5000
Dy1 Dy 0.1486 0.5000 0.1672

[5]
# PBE CaYBr4, optimized geometry
# total DFT energy (no corrections)	-2.757	eV/atom
# formation energy from raw total energies	-0.231	eV per atom
# size of the total moment	1.16	μB per formula unit
data_CaYBr4
_chemical_formula_sum 'Ca4 Y4 Br16'
_space_group_name_H-M_alt 'F -4 3 m'
_space_group_IT_number 216
_space_group_name_Hall 'F -4 2 3'
_cell_length_a 9.0540
_cell_length_b 9.0540
_cell_length_c 9.0540
_cell_angle_alpha 90.00
_cell_angle_beta 90.00
_cell_angle_gamma 90.00
loop_
_atom_site_label
_atom_site_type_symbol
_atom_site_fract_x
_atom_site_fract_y
_atom_site_fract_z
Ca1 Ca 0.0000 0.0000 0.0000
Y1 Y 0.2500 0.2500 0.7500
Br1 Br 0.1248 0.1248 0.3752

[6]
# PBE TlTeS2Cl, optimized geometry
# total DFT energy (no corrections)	-2.612	eV/atom
# formation energy from raw total energies	0.510	eV per atom
# energy above the most stable polymorph in this dataset	788	meV/atom
# size of the total moment	0.00	μB per formula unit
data_TlTeS2Cl
_chemical_formula_sum 'Tl1 Te1 S2 Cl1'
_space_group_name_H-M_alt 'P 4/m m m'
_space_group_IT_number 123
_space_group_name_Hall '-P 4 2'
_cell_length_a 5.2065
_cell_length_b 5.2065
_cell_length_c 5.0675
_cell_angle_alpha 90.00
_cell_angle_beta 90.00
_cell_angle_gamma 90.00
loop_
_atom_site_label
_atom_site_type_symbol
_atom_site_fract_x
_atom_site_fract_y
_atom_site_fract_z
Tl1 Tl 0.0000 0.0000 0.0000
Te1 Te 0.5000 0.5000 0.5000
S1 S 0.0000 0.5000 0.0000
Cl1 Cl 0.0000 0.0000 0.5000

> Which formula does entry 2 have?

SrTeSe2

> What is the formula in the fourth record?

La2Pr4NdDy2

> What is the formula in the sixth record?

TlTeS2Cl